Density functional theory data (GGA+U) for crystalline Sr4YV3O12 at its relaxed geometry.

abc: 8.0328 8.0328 8.0328
angles: 90.00 90.00 90.00
Space group Im-3m (No. 229)
Asymmetric unit:
1 Sr 0.2500 0.2500 0.2500 x8
2 Y 0.0000 0.0000 0.0000 x2
3 V 0.0000 0.0000 0.5000 x6
4 O 0.0000 0.0000 0.2696 x12
5 O 0.0000 0.2500 0.5000 x12

- DFT total energy: -7.3228 eV per atom